P.
# Na2Te3As

Crystalline Na2Te3As at its relaxed geometry (GGA-PBE, the Alexandria database).

Calculated values
D(E_F)	5.58	states/eV/cell

Geometry as extended XYZ:
```
24
Lattice="6.435 0.000 0.000 -3.218 6.469 0.000 0.000 0.000 19.706" Properties=species:S:1:pos:R:3 pbc="T T T"
Na 3.218 0.636 13.562
Na 3.218 1.780 0.446
Na 0.000 0.636 15.997
Na 3.218 4.689 10.299
Na 3.218 5.833 3.709
Na 0.000 5.833 6.144
Na 0.000 1.780 9.407
Na 0.000 4.689 19.260
Te 1.609 4.056 14.779
Te 4.826 2.413 4.926
Te 3.218 0.758 16.979
Te 3.218 4.865 19.173
Te 0.000 1.604 0.533
Te 3.218 5.711 7.126
Te 3.218 1.604 9.320
Te 0.000 4.865 10.386
Te 0.000 0.758 12.580
Te 0.000 5.711 2.727
Te -1.609 4.056 14.779
Te 1.609 2.413 4.926
As 3.218 3.393 16.978
As 3.218 3.077 7.125
As 0.000 3.393 12.581
As 0.000 3.077 2.728
```

Q.
# Na2Te3As

Crystalline Na2Te3As at its relaxed geometry (GGA-PBE, the Alexandria database).

Calculated values
D(E_F)	2.35	states/eV/cell

Geometry as extended XYZ:
```
12
Lattice="7.318 -0.345 -0.246 0.437 8.078 1.129 0.437 3.705 7.266" Properties=species:S:1:pos:R:3 pbc="T T T"
Na 5.745 2.708 3.444
Na 2.085 4.312 1.557
Na 6.107 7.127 6.592
Na 2.447 8.731 4.705
Te 2.266 5.632 4.380
Te 5.926 5.807 3.770
Te 8.065 9.744 6.929
Te 3.786 1.534 1.080
Te 4.406 9.905 7.069
Te 0.127 1.695 1.220
As 5.926 7.371 1.573
As 2.266 4.067 6.576
```

Pick Q: it beats the second-best structure by 0.023 eV/atom.

P.
# NaThAs2

Crystalline NaThAs2 at its relaxed geometry (GGA-PBE, the Alexandria database).

Calculated values
D(E_F)	4.36	states/eV/cell

Geometry as extended XYZ:
```
4
Lattice="4.420 0.000 0.000 2.210 3.828 0.000 2.210 1.276 6.630" Properties=species:S:1:pos:R:3 pbc="T T T"
Na 4.420 2.552 3.315
As 2.210 1.276 1.517
As 6.630 3.828 5.113
Th 0.000 0.000 0.000
```

Q.
# NaThAs2

Crystalline NaThAs2 at its relaxed geometry (GGA-PBE, the Alexandria database).

Calculated values
D(E_F)	3.43	states/eV/cell

Geometry as extended XYZ:
```
4
Lattice="-1.102 4.090 -1.095 -2.531 0.722 -3.494 -6.660 1.168 2.327" Properties=species:S:1:pos:R:3 pbc="T T T"
Na -5.249 2.982 -1.059
Th -9.037 4.380 -0.765
As -5.325 1.275 1.382
As -2.489 1.502 -0.625
```

Pick P: it beats the second-best structure by 0.016 eV/atom.

P.
# Na3TlAs

Crystalline Na3TlAs at its relaxed geometry (GGA-PBE, the Alexandria database).

Calculated values
D(E_F)	4.55	states/eV/cell

Geometry as extended XYZ:
```
5
Lattice="5.563 0.000 0.000 0.000 5.563 0.000 0.000 0.000 5.563" Properties=species:S:1:pos:R:3 pbc="T T T"
Na 0.000 2.781 0.000
Na 0.000 0.000 2.781
Na 2.781 0.000 0.000
Tl 2.781 2.781 2.781
As 0.000 0.000 0.000
```

Q.
# Na3TlAs

Crystalline Na3TlAs at its relaxed geometry (GGA-PBE, the Alexandria database).

Calculated values
D(E_F)	4.01	states/eV/cell

Geometry as extended XYZ:
```
5
Lattice="5.619 0.000 0.000 0.000 5.619 0.000 0.000 0.000 5.619" Properties=species:S:1:pos:R:3 pbc="T T T"
Na 0.000 2.809 0.000
Na 0.000 0.000 2.809
Na 2.809 0.000 0.000
Tl 0.000 0.000 0.000
As 2.809 2.809 2.809
```

R.
# Na3TlAs

Crystalline Na3TlAs at its relaxed geometry (GGA-PBE, the Alexandria database).

Calculated values
D(E_F)	1.80	states/eV/cell

Geometry as extended XYZ:
```
10
Lattice="-1.166 -5.857 -4.664 6.083 4.487 0.540 0.778 -2.689 7.042" Properties=species:S:1:pos:R:3 pbc="T T T"
Na 0.629 -6.771 0.585
Na 3.717 -3.069 -2.185
Na 4.253 -1.625 3.194
Na 1.624 0.211 2.035
Na 1.258 -2.410 -0.116
Na 3.912 -4.226 1.016
Tl 1.359 -5.298 3.580
Tl 4.148 1.290 -0.505
As 4.029 -1.302 0.217
As 1.476 -2.705 2.860
```

Pick R: it beats the second-best structure by 0.061 eV/atom.

P.
# Na2Tl2As

Crystalline Na2Tl2As at its relaxed geometry (GGA-PBE, the Alexandria database).

Calculated values
D(E_F)	3.94	states/eV/cell

Geometry as extended XYZ:
```
10
Lattice="-1.890 -3.761 5.976 -2.842 -5.257 -4.208 4.666 -2.463 -0.075" Properties=species:S:1:pos:R:3 pbc="T T T"
Na -3.091 -5.811 -1.480
Na -3.451 -6.610 2.373
Na -1.641 -3.207 3.248
Na -1.281 -2.409 -0.606
Tl 0.049 -5.503 -1.819
Tl -1.281 -8.097 0.598
Tl -0.116 -5.978 3.512
Tl 1.214 -3.385 1.095
As 0.000 0.000 0.000
As -2.366 -4.509 0.884
```

Q.
# Na2Tl2As

Crystalline Na2Tl2As at its relaxed geometry (GGA-PBE, the Alexandria database).

Calculated values
D(E_F)	2.73	states/eV/cell

Geometry as extended XYZ:
```
10
Lattice="-2.501 -6.782 -2.524 2.655 -3.345 6.355 -4.350 0.776 2.226" Properties=species:S:1:pos:R:3 pbc="T T T"
Na -0.821 -3.021 4.947
Na -1.654 -6.937 4.684
Na -3.375 -6.331 1.109
Na -2.541 -2.414 1.373
Tl 1.383 -5.301 4.551
Tl -0.443 -7.968 1.911
Tl -1.229 -4.826 -0.719
Tl 0.597 -2.159 1.920
As 0.000 0.000 0.000
As 0.077 -5.064 1.916
```

Pick Q: it beats the second-best structure by 0.020 eV/atom.

P.
# Na2VAs2

Crystalline Na2VAs2 at its relaxed geometry (GGA-PBE, the Alexandria database).

Calculated values
D(E_F)	2.12	states/eV/cell

Geometry as extended XYZ:
```
10
Lattice="-3.345 4.120 2.858 -4.196 -4.668 1.818 7.069 -0.662 2.872" Properties=species:S:1:pos:R:3 pbc="T T T"
Na -0.757 -0.138 5.668
Na 0.285 -1.072 1.879
Na -4.163 -2.100 4.510
Na 3.691 0.891 3.037
V -4.607 0.756 3.052
V -2.934 -1.304 1.623
As 1.738 -1.704 4.491
As -2.210 0.494 3.057
As -2.272 -3.496 2.379
As 1.800 2.286 5.168
```

Q.
# Na2VAs2

Crystalline Na2VAs2 at its relaxed geometry (GGA-PBE, the Alexandria database).

Calculated values
D(E_F)	3.77	states/eV/cell

Geometry as extended XYZ:
```
5
Lattice="-0.395 0.240 3.783 -0.312 -3.792 0.208 6.468 -2.297 2.741" Properties=species:S:1:pos:R:3 pbc="T T T"
Na 2.860 -1.917 4.259
Na 2.901 -3.933 2.472
As 0.872 -1.870 2.129
As 4.889 -3.980 4.602
V 0.000 0.000 0.000
```

Pick P: it beats the second-best structure by 0.605 eV/atom.

P.
# Na3VAs

Crystalline Na3VAs at its relaxed geometry (GGA-PBE, the Alexandria database).

Calculated values
D(E_F)	6.03	states/eV/cell

Geometry as extended XYZ:
```
5
Lattice="5.466 0.000 0.000 0.000 5.466 0.000 0.000 0.000 5.466" Properties=species:S:1:pos:R:3 pbc="T T T"
Na 0.000 2.733 0.000
Na 0.000 0.000 2.733
Na 2.733 0.000 0.000
As 2.733 2.733 2.733
V 0.000 0.000 0.000
```

Q.
# Na3VAs

Crystalline Na3VAs at its relaxed geometry (GGA-PBE, the Alexandria database).

Calculated values
D(E_F)	10.79	states/eV/cell

Geometry as extended XYZ:
```
5
Lattice="5.531 0.000 0.000 0.000 5.531 0.000 0.000 0.000 5.531" Properties=species:S:1:pos:R:3 pbc="T T T"
Na 0.000 2.766 0.000
Na 0.000 0.000 2.766
Na 2.766 0.000 0.000
As 0.000 0.000 0.000
V 2.766 2.766 2.766
```

Pick Q: it beats the second-best structure by 0.464 eV/atom.